# 1
The following is a GGA-PBE calculation of Sm2Tl3BiTe6 after structural relaxation, from Alexandria via LeMat-Bulk.

Cell: 7.8792 7.8792 8.5378 Å, 98.85 98.85 120.04°
Closest atoms and distances in Å follow each position.
Element x y z (fractional)
Sm 0.1665 0.8335 0.0000  6 Te 3.16-3.17
Sm 0.8335 0.1665 0.0000  6 Te 3.16-3.17
Tl 0.0000 0.0000 0.5000  6 Te 3.47-3.49
Tl 0.3317 0.6683 0.5000  6 Te 3.47-3.49
Tl 0.6683 0.3317 0.5000  6 Te 3.47-3.49
Bi 0.5000 0.5000 0.0000  6 Te 3.17-3.18
Te 0.0934 0.4276 0.7823  2 Sm 3.16, 1 Bi 3.17, 3 Tl 3.47-3.49
Te 0.2394 0.2394 0.2200  2 Sm 3.17, 1 Bi 3.18, 3 Tl 3.47-3.49
Te 0.4276 0.0934 0.7823  2 Sm 3.16, 1 Bi 3.17, 3 Tl 3.47-3.49
Te 0.5724 0.9066 0.2177  2 Sm 3.16, 1 Bi 3.17, 3 Tl 3.47-3.49
Te 0.7606 0.7606 0.7800  2 Sm 3.17, 1 Bi 3.18, 3 Tl 3.47-3.49
Te 0.9066 0.5724 0.2177  2 Sm 3.16, 1 Bi 3.17, 3 Tl 3.47-3.49

## Properties
As for the total energy: -4.082 eV/atom. The formation energy (no corrections) is -0.810 eV/atom. The magnetization is 0.00 μB/cell.

# 2
The following is a GGA-PBE calculation of Na2MgTe after structural relaxation, from Alexandria via LeMat-Bulk.

Cell: 12.1018 12.1018 12.1018 Å, 158.69 158.69 30.32°
Closest atoms and distances in Å follow each position.
Element x y z (fractional)
Na 0.1134 0.6250 0.9884  4 Na 3.09-3.24, 2 Te 3.30, 2 Mg 3.34
Na 0.3750 0.3634 0.4884  4 Na 3.09-3.24, 2 Te 3.30, 2 Mg 3.34
Na 0.6366 0.1250 0.0116  4 Na 3.09-3.24, 2 Te 3.30, 2 Mg 3.34
Na 0.8750 0.8866 0.5116  4 Na 3.09-3.24, 2 Te 3.30, 2 Mg 3.34
Mg 0.2500 0.7500 0.5000  4 Te 3.16, 4 Na 3.34
Mg 0.5000 0.5000 0.0000  4 Te 3.16, 4 Na 3.34
Te 0.0000 0.0000 0.0000  4 Mg 3.16, 4 Na 3.30
Te 0.7500 0.2500 0.5000  4 Mg 3.16, 4 Na 3.30

## Properties
As for the total energy: -2.075 eV/atom. The formation energy (no corrections) is -0.231 eV/atom. The calculation puts the distance to the lowest polymorph of the same formula at 12.09 kJ/mol of atoms. The magnetization is 0.00 μB/cell.